A relaxed structure of Al2Te4Au. Source: Alexandria via LeMat-Bulk, functional PBE.

Values from the calculation:
* formation energy without anion corrections: -301 meV per atom
* spin magnetization: 0.000 μB/f.u.

abc: 5.809 5.809 6.625
angles: 90.00 90.00 90.00
Positions (direct):
Al (0.000, 0.500, 0.000)
Al (0.500, 0.000, 0.000)
Te (0.229, 0.229, 0.747)
Te (0.229, 0.771, 0.253)
Te (0.771, 0.229, 0.253)
Te (0.771, 0.771, 0.747)
Au (0.500, 0.500, 0.500)

A relaxed structure of Mn2CdSi. Source: Alexandria via LeMat-Bulk, functional PBE.

Values from the calculation:
* energy above the lowest structure with this stoichiometry: 218 meV per atom
* formation energy without anion corrections: 226 meV per atom
* spin magnetization: 6.015 μB/f.u.

abc: 3.425 4.062 8.697
angles: 90.00 90.00 90.00
Positions (direct):
Mn (0.000, 0.000, 0.000)
Mn (0.000, 0.500, 0.235)
Mn (0.500, 0.000, 0.735)
Mn (0.500, 0.500, 0.500)
Cd (0.000, 0.000, 0.467)
Cd (0.500, 0.500, 0.967)
Si (0.000, 0.500, 0.711)
Si (0.500, 0.000, 0.211)

A relaxed structure of ScCdAg2. Source: Alexandria via LeMat-Bulk, functional PBE.

Values from the calculation:
* energy of formation: -0.1586 eV per atom
* spin magnetization: 0.000 μB/f.u.

abc: 3.496 3.496 6.492
angles: 90.00 90.00 90.00
Positions (direct):
Sc (0.000, 0.000, 0.000)
Cd (0.500, 0.500, 0.719)
Ag (0.000, 0.000, 0.478)
Ag (0.500, 0.500, 0.236)

A relaxed structure of HfZrPS2. Source: Alexandria via LeMat-Bulk, functional PBE.

Values from the calculation:
* energy above the lowest structure with this stoichiometry: 250 meV per atom
* formation energy without anion corrections: -95 meV per atom
* spin magnetization: 0.426 μB/f.u.

abc: 4.799 4.799 5.083
angles: 90.00 90.00 90.00
Positions (direct):
Hf (0.000, 0.000, 0.000)
Zr (0.500, 0.500, 0.500)
P (0.500, 0.500, 0.000)
S (0.000, 0.500, 0.500)
S (0.500, 0.000, 0.500)

A relaxed structure of Cs4Tl2Cl. Source: Alexandria via LeMat-Bulk, functional PBE.

Values from the calculation:
* formation energy without anion corrections: -495 meV per atom
* spin magnetization: 0.000 μB/f.u.

abc: 7.280 7.280 17.785
angles: 90.00 90.00 90.00
Positions (direct):
Cs (0.000, 0.000, 0.191)
Cs (0.000, 0.000, 0.809)
Cs (0.000, 0.500, 0.000)
Cs (0.000, 0.500, 0.500)
Cs (0.500, 0.000, 0.000)
Cs (0.500, 0.000, 0.500)
Cs (0.500, 0.500, 0.309)
Cs (0.500, 0.500, 0.691)
Tl (0.000, 0.000, 0.415)
Tl (0.000, 0.000, 0.585)
Tl (0.500, 0.500, 0.085)
Tl (0.500, 0.500, 0.915)
Cl (0.000, 0.000, 0.000)
Cl (0.500, 0.500, 0.500)

A relaxed structure of CsYZn2F8. Source: Alexandria via LeMat-Bulk, functional PBE.

Values from the calculation:
* formation energy without anion corrections: -2927 meV per atom
* spin magnetization: 0.099 μB/f.u.

abc: 9.498 9.498 9.498
angles: 33.39 33.39 33.39
Positions (direct):
Cs (0.000, 0.000, 0.000)
Y (0.500, 0.500, 0.500)
Zn (0.249, 0.249, 0.249)
Zn (0.751, 0.751, 0.751)
F (0.122, 0.475, 0.748)
F (0.252, 0.525, 0.878)
F (0.318, 0.318, 0.318)
F (0.475, 0.748, 0.122)
F (0.525, 0.878, 0.252)
F (0.682, 0.682, 0.682)
F (0.748, 0.122, 0.475)
F (0.878, 0.252, 0.525)

Copy entry 4 word for word.
A relaxed structure of HfZrPS2. Source: Alexandria via LeMat-Bulk, functional PBE.

Values from the calculation:
* energy above the lowest structure with this stoichiometry: 250 meV per atom
* formation energy without anion corrections: -95 meV per atom
* spin magnetization: 0.426 μB/f.u.

abc: 4.799 4.799 5.083
angles: 90.00 90.00 90.00
Positions (direct):
Hf (0.000, 0.000, 0.000)
Zr (0.500, 0.500, 0.500)
P (0.500, 0.500, 0.000)
S (0.000, 0.500, 0.500)
S (0.500, 0.000, 0.500)